Run i
Tb4Nd2Sm5: optimized geometry, GGA-PBE.

Geometry as POSCAR:
```
Tb4Nd2Sm5
1.0
-2.188 -2.634 -0.888
6.570 -3.685 -5.258
1.637 -3.116 12.254
Tb Nd Sm
4 2 5
Direct
0.000 0.309 0.000
0.597 0.597 0.193
0.000 0.691 0.000
0.403 0.403 0.807
0.268 0.268 0.537
0.732 0.732 0.463
0.856 0.054 0.712
0.856 0.659 0.712
0.144 0.341 0.288
0.144 0.946 0.288
0.500 0.000 0.000
```

spin magnetization = 0.00 μB/cell
space group = Immm, No. 71

---

Run ii
Tb4Nd2Sm5: optimized geometry, GGA-PBE.

Geometry as POSCAR:
```
Tb4Nd2Sm5
1.0
-2.429 -1.630 1.895
6.166 -2.310 5.917
-1.821 11.317 4.196
Tb Nd Sm
4 2 5
Direct
0.677 0.472 0.354
0.046 0.362 0.091
0.323 0.528 0.646
0.954 0.638 0.909
0.908 0.264 0.816
0.092 0.736 0.184
0.141 0.121 0.281
0.859 0.879 0.719
0.232 0.823 0.465
0.500 0.000 0.000
0.768 0.177 0.535
```

spin magnetization = 0.00 μB/cell
space group = C2/m, No. 12

---

Which of them is the most stable? Correct choice: run ii.

---

Run i
Tb3Nd4Sm8: optimized geometry, GGA-PBE.

Geometry as POSCAR:
```
Tb3Nd4Sm8
1.0
6.869 -0.106 -0.152
-3.287 8.719 1.223
-3.287 -1.880 8.601
Tb Nd Sm
3 4 8
Direct
0.500 0.500 0.000
0.500 0.000 0.500
0.500 0.500 0.500
0.500 0.000 0.000
0.000 0.500 0.000
0.000 0.000 0.000
0.000 0.000 0.500
0.508 0.262 0.262
0.000 0.643 0.357
0.994 0.273 0.273
0.500 0.745 0.255
0.500 0.255 0.745
0.006 0.727 0.727
0.000 0.357 0.643
0.492 0.738 0.738
```

spin magnetization = 0.00 μB/cell
space group = C2/m, No. 12

---

Run ii
Tb3Nd4Sm8: optimized geometry, GGA-PBE.

Geometry as POSCAR:
```
Tb3Nd4Sm8
1.0
6.205 0.000 3.346
2.200 5.802 3.346
-2.619 -1.808 12.282
Tb Nd Sm
3 4 8
Direct
0.500 0.000 0.500
0.000 0.000 0.500
0.000 0.500 0.500
0.000 0.000 0.000
0.336 0.336 0.991
0.500 0.500 0.500
0.664 0.664 0.009
0.246 0.246 0.263
0.247 0.750 0.254
0.750 0.750 0.254
0.750 0.247 0.254
0.754 0.754 0.737
0.753 0.250 0.746
0.250 0.250 0.746
0.250 0.753 0.746
```

spin magnetization = 0.00 μB/cell
space group = R-3m, No. 166

---

Which of them is the most stable? Correct choice: run ii.